14
Lattice="-2.1218 4.4650 6.2460 2.1218 -4.4650 6.2460 2.1218 4.4650 -6.2460" Properties=species:S:1:pos:R:3 comment="Pr3Cu11 | Alexandria | PBE-GGA | relaxed" final_energy_ev_per_atom=-4.3917 mass_density_g_cm3=7.87 m_tot_mub_per_fu=0.00 e_form_ev_per_atom=-0.149 pbc="T T T"
Pr 0.0000 0.0000 0.0000
Pr 0.0000 0.0000 3.8206
Pr 0.0000 0.0000 8.6714
Cu 2.1218 -1.3157 2.1734
Cu 2.1218 -1.9554 4.7546
Cu 2.1218 2.5809 0.0000
Cu 2.1218 1.3157 2.1734
Cu 0.0000 2.5096 1.4914
Cu 0.0000 4.4650 0.0000
Cu 2.1218 1.9554 4.7546
Cu 0.0000 3.1493 4.0726
Cu 0.0000 1.8841 6.2460
Cu 0.0000 6.4204 1.4914
Cu 0.0000 5.7807 4.0726

---

10
Lattice="7.0926 0.0000 0.0000 -3.5463 6.1424 0.0000 0.0000 0.0000 5.6929" Properties=species:S:1:pos:R:3 comment="Ce3AlOs | Alexandria | PBE-GGA | relaxed" final_energy_ev_per_atom=-6.7678 mass_density_g_cm3=8.54 m_tot_mub_per_fu=0.05 e_form_ev_per_atom=-0.213 pbc="T T T"
Ce 0.0000 2.3865 1.4232
Ce -1.4795 4.9491 1.4232
Ce 2.0668 1.1932 4.2696
Ce 1.4795 4.9491 1.4232
Ce 5.0259 1.1932 4.2696
Ce 3.5463 3.7559 4.2696
Al 0.0000 4.0949 4.2696
Al 3.5463 2.0475 1.4232
Os 0.0000 0.0000 0.0000
Os 0.0000 0.0000 2.8464

---

11
Lattice="9.0026 -2.4996 0.0000 9.0026 2.4996 0.0000 -2.0733 0.0000 7.6163" Properties=species:S:1:pos:R:3 comment="CeSm2Er8 | Alexandria | PBE-GGA | relaxed" final_energy_ev_per_atom=-4.6750 mass_density_g_cm3=8.62 relative_energy_mev_per_atom=0.0 m_tot_mub_per_fu=1.16 e_form_ev_per_atom=0.041 pbc="T T T"
Ce 0.0000 0.0000 0.0000
Sm 4.1378 0.0000 2.7646
Sm 11.7940 0.0000 4.8517
Er 0.6750 0.0000 3.4537
Er 1.3611 0.0000 6.9066
Er 4.8639 0.0000 6.2568
Er 7.6441 0.0000 2.0546
Er 8.2878 0.0000 5.5617
Er 11.0680 0.0000 1.3595
Er 14.5708 0.0000 0.7097
Er 15.2568 0.0000 4.1626

---

24
Lattice="8.2935 -12.5073 0.0000 8.2935 12.5073 0.0000 0.0000 0.0000 3.6599" Properties=species:S:1:pos:R:3 comment="Tb4Y11Tm9 | Alexandria | PBE-GGA | relaxed" final_energy_ev_per_atom=-5.3591 mass_density_g_cm3=6.85 m_tot_mub_per_fu=0.84 e_form_ev_per_atom=0.052 pbc="T T T"
Tb 2.5670 2.5225 0.0000
Tb 2.5670 -2.5225 0.0000
Tb 14.0200 2.5225 0.0000
Tb 14.0200 -2.5225 0.0000
Y 4.5561 4.5255 1.8300
Y 8.2935 9.1782 1.8300
Y 3.4584 0.0000 1.8300
Y 8.2935 3.9910 1.8300
Y 4.5561 -4.5255 1.8300
Y 8.2935 0.0000 1.8300
Y 12.0310 4.5255 1.8300
Y 8.2935 -3.9910 1.8300
Y 13.1286 0.0000 1.8300
Y 8.2935 -9.1782 1.8300
Y 12.0310 -4.5255 1.8300
Tm 0.0000 0.0000 0.0000
Tm 6.6074 6.6563 0.0000
Tm 5.9485 1.8072 0.0000
Tm 9.9797 6.6563 0.0000
Tm 5.9485 -1.8072 0.0000
Tm 10.6385 1.8072 0.0000
Tm 6.6074 -6.6563 0.0000
Tm 10.6385 -1.8072 0.0000
Tm 9.9797 -6.6563 0.0000

---

9
Lattice="7.1794 0.0000 0.0000 -3.5897 6.2175 0.0000 0.0000 0.0000 4.6220" Properties=species:S:1:pos:R:3 comment="YAlCu | Alexandria | PBE-GGA | relaxed" final_energy_ev_per_atom=-4.6507 mass_density_g_cm3=4.33 m_tot_mub_per_fu=0.00 e_form_ev_per_atom=0.117 pbc="T T T"
Y 0.0000 0.0000 0.0000
Y 0.0000 4.1450 2.3110
Y 3.5897 2.0725 2.3110
Al -0.8142 1.4103 2.3110
Al 1.6284 0.0000 2.3110
Al 2.7755 4.8072 2.3110
Cu -1.4449 2.5026 0.0000
Cu 2.8897 0.0000 0.0000
Cu 2.1448 3.7149 0.0000

---

5
Lattice="5.0618 0.0000 0.0000 0.0000 5.0618 0.0000 0.0000 0.0000 4.2878" Properties=species:S:1:pos:R:3 comment="CdGe2OsS | Alexandria | PBE-GGA | relaxed" final_energy_ev_per_atom=-4.2871 mass_density_g_cm3=7.25 m_tot_mub_per_fu=0.00 e_form_raw_mev_per_atom=814 pbc="T T T"
Cd 0.0000 0.0000 0.0000
Ge 0.0000 2.5309 2.1439
Ge 2.5309 0.0000 2.1439
Os 2.5309 2.5309 0.0000
S 2.5309 2.5309 2.1439